# Pr2Al5Au3 GGA-PBE relaxed
data_Pr2Al5Au3
_chemical_formula_sum 'Pr8 Al20 Au12'
_cell_length_a 10.7575
_cell_length_b 12.2627
_cell_length_c 6.2401
_cell_angle_alpha 90.00
_cell_angle_beta 90.00
_cell_angle_gamma 90.00
_symmetry_space_group_name_H-M 'I b a m'
_symmetry_Int_Tables_number 72
_symmetry_space_group_name_Hall '-I 2 2c'
loop_
_atom_site_label
_atom_site_type_symbol
_atom_site_fract_x
_atom_site_fract_y
_atom_site_fract_z
Pr1 Pr 0.2389 0.1298 0.0000
Al1 Al 0.0000 0.0000 0.2500
Al2 Al 0.0000 0.2617 0.2500
Al3 Al 0.1456 0.3874 0.0000
Au1 Au 0.0000 0.5000 0.2500
Au2 Au 0.1217 0.1303 0.5000
# **Volume**: 20.6 A^3/atom
# **DFT total energy**: -45.1 eV/f.u.



# Er2Fe2BrCl GGA-PBE relaxed
data_Er2Fe2BrCl
_chemical_formula_sum 'Er2 Fe2 Br1 Cl1'
_cell_length_a 3.7988
_cell_length_b 3.7988
_cell_length_c 11.1291
_cell_angle_alpha 90.00
_cell_angle_beta 90.00
_cell_angle_gamma 120.00
_symmetry_space_group_name_H-M 'P 3 m 1'
_symmetry_Int_Tables_number 156
loop_
_symmetry_equiv_pos_as_xyz
'x,y,z'
'-y,x-y,z'
'-x+y,-x,z'
'-y,-x,z'
'-x+y,y,z'
'x,x-y,z'
loop_
_atom_site_label
_atom_site_type_symbol
_atom_site_fract_x
_atom_site_fract_y
_atom_site_fract_z
Er1 Er 0.0000 0.0000 0.0000
Er2 Er 0.0000 0.0000 0.3540
Fe1 Fe 0.3333 0.6667 0.1856
Fe2 Fe 0.6667 0.3333 0.1685
Br1 Br 0.3333 0.6667 0.8276
Cl1 Cl 0.6667 0.3333 0.5082
# **Volume**: 23.2 A^3/atom
# **DFT total energy**: -35.5 eV/f.u.



# K2Re2S5 GGA-PBE relaxed
data_K2Re2S5
_chemical_formula_sum 'K8 Re8 S20'
_cell_length_a 9.9212
_cell_length_b 7.7316
_cell_length_c 11.3629
_cell_angle_alpha 90.00
_cell_angle_beta 111.26
_cell_angle_gamma 90.00
_symmetry_space_group_name_H-M 'C 1 2/c 1'
_symmetry_Int_Tables_number 15
loop_
_symmetry_equiv_pos_as_xyz
'x,y,z'
'-x,-y,-z'
'-x,y,-z+1/2'
'x,-y,z+1/2'
'x+1/2,y+1/2,z'
'-x+1/2,-y+1/2,-z'
'-x+1/2,y+1/2,-z+1/2'
'x+1/2,-y+1/2,z+1/2'
loop_
_atom_site_label
_atom_site_type_symbol
_atom_site_fract_x
_atom_site_fract_y
_atom_site_fract_z
K1 K 0.2201 0.1694 0.3184
Re1 Re 0.1152 0.3352 0.9500
S1 S 0.0000 0.2256 0.7500
S2 S 0.0081 0.3874 0.1010
S3 S 0.1689 0.0519 0.0341
# **Volume**: 22.6 A^3/atom
# **DFT total energy**: -53.1 eV/f.u.



# YMg6Hg GGA-PBE relaxed
data_YMg6Hg
_chemical_formula_sum 'Y1 Mg6 Hg1'
_cell_length_a 6.6049
_cell_length_b 6.6049
_cell_length_c 5.0811
_cell_angle_alpha 90.00
_cell_angle_beta 90.00
_cell_angle_gamma 120.00
_symmetry_space_group_name_H-M 'P -6 m 2'
_symmetry_Int_Tables_number 187
_symmetry_space_group_name_Hall 'P -6 2'
loop_
_atom_site_label
_atom_site_type_symbol
_atom_site_fract_x
_atom_site_fract_y
_atom_site_fract_z
Y1 Y 0.0000 0.0000 0.0000
Mg1 Mg 0.3382 0.1691 0.5000
Mg2 Mg 0.5029 0.0058 0.0000
Hg1 Hg 0.3333 0.6667 0.5000
# **Volume**: 24.0 A^3/atom
# **DFT total energy**: -16.4 eV/f.u.



# SmIn2Ag2 GGA-PBE relaxed
data_SmIn2Ag2
_chemical_formula_sum 'Sm2 In4 Ag4'
_cell_length_a 4.4831
_cell_length_b 4.4831
_cell_length_c 11.7460
_cell_angle_alpha 90.00
_cell_angle_beta 90.00
_cell_angle_gamma 90.00
_symmetry_space_group_name_H-M 'P 4/n m m'
_symmetry_Int_Tables_number 129
loop_
_symmetry_equiv_pos_as_xyz
'x,y,z'
'-x,-y,-z'
'-y+1/2,x,z'
'y+1/2,-x,-z'
'-x+1/2,-y+1/2,z'
'x+1/2,y+1/2,-z'
'y,-x+1/2,z'
'-y,x+1/2,-z'
'x+1/2,-y,-z'
'-x+1/2,y,z'
'-y,-x,-z'
'y,x,z'
'-x,y+1/2,-z'
'x,-y+1/2,z'
'y+1/2,x+1/2,-z'
'-y+1/2,-x+1/2,z'
loop_
_atom_site_label
_atom_site_type_symbol
_atom_site_fract_x
_atom_site_fract_y
_atom_site_fract_z
Sm1 Sm 0.2500 0.2500 0.2480
In1 In 0.2500 0.2500 0.8636
In2 In 0.2500 0.7500 0.5000
Ag1 Ag 0.2500 0.2500 0.6408
Ag2 Ag 0.2500 0.7500 0.0000
# **Volume**: 23.6 A^3/atom
# **DFT total energy**: -17.1 eV/f.u.



# BaAgS2O6 GGA-PBE relaxed
data_BaAgS2O6
_chemical_formula_sum 'Ba4 Ag4 S8 O24'
_cell_length_a 7.9210
_cell_length_b 5.2683
_cell_length_c 15.5881
_cell_angle_alpha 90.00
_cell_angle_beta 91.35
_cell_angle_gamma 90.00
_symmetry_space_group_name_H-M 'C 1 2/c 1'
_symmetry_Int_Tables_number 15
loop_
_symmetry_equiv_pos_as_xyz
'x,y,z'
'-x,-y,-z'
'-x,y,-z+1/2'
'x,-y,z+1/2'
'x+1/2,y+1/2,z'
'-x+1/2,-y+1/2,-z'
'-x+1/2,y+1/2,-z+1/2'
'x+1/2,-y+1/2,z+1/2'
loop_
_atom_site_label
_atom_site_type_symbol
_atom_site_fract_x
_atom_site_fract_y
_atom_site_fract_z
Ba1 Ba 0.0000 0.0396 0.2500
Ag1 Ag 0.0000 0.0000 0.0000
S1 S 0.1314 0.4954 0.4004
O1 O 0.0220 0.3112 0.0917
O2 O 0.0419 0.2419 0.8937
O3 O 0.1880 0.4555 0.3085
# **Volume**: 16.3 A^3/atom
# **DFT total energy**: -57.0 eV/f.u.



# Cd2HgPb GGA-PBE relaxed
data_Cd2HgPb
_chemical_formula_sum 'Cd8 Hg4 Pb4'
_cell_length_a 7.4201
_cell_length_b 7.4201
_cell_length_c 7.4201
_cell_angle_alpha 90.00
_cell_angle_beta 90.00
_cell_angle_gamma 90.00
_symmetry_space_group_name_H-M 'F -4 3 m'
_symmetry_Int_Tables_number 216
_symmetry_space_group_name_Hall 'F -4 2 3'
loop_
_atom_site_label
_atom_site_type_symbol
_atom_site_fract_x
_atom_site_fract_y
_atom_site_fract_z
Cd1 Cd 0.0000 0.0000 0.0000
Cd2 Cd 0.2500 0.2500 0.2500
Hg1 Hg 0.2500 0.2500 0.7500
Pb1 Pb 0.0000 0.0000 0.5000
# **Volume**: 25.5 A^3/atom
# **DFT total energy**: -5.4 eV/f.u.



# ZrCuAsPt GGA-PBE relaxed
data_ZrCuAsPt
_chemical_formula_sum 'Zr4 Cu4 As4 Pt4'
_cell_length_a 6.4890
_cell_length_b 6.4890
_cell_length_c 6.4890
_cell_angle_alpha 90.00
_cell_angle_beta 90.00
_cell_angle_gamma 90.00
_symmetry_space_group_name_H-M 'F -4 3 m'
_symmetry_Int_Tables_number 216
_symmetry_space_group_name_Hall 'F -4 2 3'
loop_
_atom_site_label
_atom_site_type_symbol
_atom_site_fract_x
_atom_site_fract_y
_atom_site_fract_z
Zr1 Zr 0.0000 0.0000 0.0000
Cu1 Cu 0.2500 0.2500 0.7500
As1 As 0.0000 0.0000 0.5000
Pt1 Pt 0.2500 0.2500 0.2500
# **Energy above the most stable polymorph in this dataset**: 0.52 eV/f.u.
# **Volume**: 17.1 A^3/atom
# **DFT total energy**: -24.4 eV/f.u.



# DyZrSc GGA-PBE relaxed
data_DyZrSc
_chemical_formula_sum 'Dy4 Zr4 Sc4'
_cell_length_a 7.0926
_cell_length_b 7.0926
_cell_length_c 7.0926
_cell_angle_alpha 90.00
_cell_angle_beta 90.00
_cell_angle_gamma 90.00
_symmetry_space_group_name_H-M 'F -4 3 m'
_symmetry_Int_Tables_number 216
_symmetry_space_group_name_Hall 'F -4 2 3'
loop_
_atom_site_label
_atom_site_type_symbol
_atom_site_fract_x
_atom_site_fract_y
_atom_site_fract_z
Dy1 Dy 0.0000 0.0000 0.0000
Zr1 Zr 0.0000 0.0000 0.5000
Sc1 Sc 0.2500 0.2500 0.2500
# **Volume**: 29.7 A^3/atom
# **DFT total energy**: -16.9 eV/f.u.



# TbCoHg GGA-PBE relaxed
data_TbCoHg
_chemical_formula_sum 'Tb4 Co4 Hg4'
_cell_length_a 6.4042
_cell_length_b 6.4042
_cell_length_c 6.4042
_cell_angle_alpha 90.00
_cell_angle_beta 90.00
_cell_angle_gamma 90.00
_symmetry_space_group_name_H-M 'F -4 3 m'
_symmetry_Int_Tables_number 216
_symmetry_space_group_name_Hall 'F -4 2 3'
loop_
_atom_site_label
_atom_site_type_symbol
_atom_site_fract_x
_atom_site_fract_y
_atom_site_fract_z
Tb1 Tb 0.0000 0.0000 0.0000
Co1 Co 0.2500 0.2500 0.7500
Hg1 Hg 0.0000 0.0000 0.5000
# **Volume**: 21.9 A^3/atom
# **DFT total energy**: -12.1 eV/f.u.



# ZrPaHg GGA-PBE relaxed
data_ZrPaHg
_chemical_formula_sum 'Zr4 Pa4 Hg4'
_cell_length_a 6.9792
_cell_length_b 6.9792
_cell_length_c 6.9792
_cell_angle_alpha 90.00
_cell_angle_beta 90.00
_cell_angle_gamma 90.00
_symmetry_space_group_name_H-M 'F -4 3 m'
_symmetry_Int_Tables_number 216
_symmetry_space_group_name_Hall 'F -4 2 3'
loop_
_atom_site_label
_atom_site_type_symbol
_atom_site_fract_x
_atom_site_fract_y
_atom_site_fract_z
Zr1 Zr 0.0000 0.0000 0.0000
Pa1 Pa 0.0000 0.0000 0.5000
Hg1 Hg 0.2500 0.2500 0.7500
# **Energy above the most stable polymorph in this dataset**: 0.00 eV/f.u.
# **Volume**: 28.3 A^3/atom
# **DFT total energy**: -16.6 eV/f.u.